Record 1
A relaxed structure of VIr2W. Source: Alexandria via LeMat-Bulk, functional PBE.

abc: 3.8977 3.8977 3.8402
angles: 90.00 90.00 90.00
Sites, in units of the cell vectors:
V  0.0000  0.0000  0.0000
Ir  0.0000  0.5000  0.5000
Ir  0.5000  0.0000  0.5000
W  0.5000  0.5000  0.0000

Summary:
* DOS at the Fermi energy: 3.40 states/eV per cell
* offset from the most stable computed form: 0.0040 eV per atom
* ΔH_f (0 K): -0.381 eV/atom



Record 2
A relaxed structure of V3IrW. Source: Alexandria via LeMat-Bulk, functional PBE.

abc: 4.4841 4.4841 4.4841
angles: 90.00 90.00 90.00
Sites, in units of the cell vectors:
V  0.0000  0.0000  0.5000
V  0.0000  0.5000  0.0000
V  0.5000  0.0000  0.0000
Ir  0.5000  0.5000  0.5000
W  0.0000  0.0000  0.0000

Summary:
* DOS at the Fermi energy: 10.22 states/eV per cell
* offset from the most stable computed form: 0.2065 eV per atom
* ΔH_f (0 K): 1.563 eV/atom



Record 3
A relaxed structure of VIrW2. Source: Alexandria via LeMat-Bulk, functional PBE.

abc: 3.8685 3.8685 4.0572
angles: 90.00 90.00 90.00
Sites, in units of the cell vectors:
V  0.0000  0.0000  0.0000
Ir  0.5000  0.5000  0.0000
W  0.0000  0.5000  0.5000
W  0.5000  0.0000  0.5000

Summary:
* DOS at the Fermi energy: 3.93 states/eV per cell
* offset from the most stable computed form: 0.0000 eV per atom
* ΔH_f (0 K): -0.036 eV/atom



Record 4
A relaxed structure of VIr2W. Source: Alexandria via LeMat-Bulk, functional PBE.

abc: 4.7207 4.7207 2.7674
angles: 90.00 90.00 108.35
Sites, in units of the cell vectors:
V  0.0000  0.0000  0.0000
Ir  0.0000  0.5000  0.5000
Ir  0.5000  0.0000  0.5000
W  0.5000  0.5000  0.0000

Summary:
* DOS at the Fermi energy: 3.73 states/eV per cell
* offset from the most stable computed form: 0.0000 eV per atom
* ΔH_f (0 K): -0.385 eV/atom